1.
CsS2 after structural relaxation, computed with GGA-PBE.

Unit cell a=6.9750 b=6.9732 c=6.9447 alpha=128.16 beta=98.30 gamma=103.49
Closest atoms and distances in Å follow each position.
Positions (direct):
Cs 0.1361 0.0954 0.4541  8 S 3.45-3.60
Cs 0.6062 0.3568 0.1848  9 S 3.57-4.00
S 0.1373 0.4692 0.1107  1 S 2.01
S 0.6248 0.0210 0.4860  1 S 2.01
S 0.2428 0.6414 0.4900  1 S 2.01
S 0.4195 0.7495 0.1078  1 S 2.01

Results
**Magnetization**: 0.00 μB/f.u.
**Formation energy without anion corrections**: -65 kJ/mol of atoms
**Theoretical density**: 2.7 g/cm3
**Symmetry**: No. 1



2.
LiCu after structural relaxation, computed with GGA-PBE.

Unit cell a=2.6568 b=2.6568 c=8.8493 alpha=90.00 beta=90.00 gamma=120.00
Closest atoms and distances in Å follow each position.
Positions (direct):
Cu 0.0000 0.0000 0.0093  9 Cu 2.56-2.66, 3 Li 2.61
Cu 0.6667 0.3333 0.2407  9 Cu 2.56-2.66, 3 Li 2.61
Li 0.0000 0.0000 0.4795  3 Cu 2.61, 6 Li 2.66
Li 0.6667 0.3333 0.7705  3 Cu 2.61, 6 Li 2.66

Results
**Magnetization**: 0.00 μB/f.u.
**E_form**: 0.03 eV per atom
**Theoretical density**: 4.3 g/cm3
**Symmetry**: No. 164



3.
Ce3Te3P after structural relaxation, computed with GGA-PBE.

Unit cell a=7.9415 b=7.9415 c=7.9649 alpha=92.49 beta=92.49 gamma=111.80
Closest atoms and distances in Å follow each position.
Positions (direct):
Ce 0.9280 0.9280 0.2001  2 P 2.73-2.85
Ce 0.8281 0.5140 0.7060  1 P 2.65
Ce 0.5140 0.8281 0.7060  1 P 2.65
Ce 0.1719 0.4860 0.2940  1 P 2.65
Ce 0.4860 0.1719 0.2940  1 P 2.65
Ce 0.0720 0.0720 0.7999  2 P 2.73-2.85
Te 0.6229 0.6229 0.3546  3 Ce 3.07-3.34, 1 Te 3.31
Te 0.1620 0.8380 0.5000  6 Ce 3.21-3.47
Te 0.8380 0.1620 0.5000  6 Ce 3.21-3.47
Te 0.2272 0.7728 0.0000  4 Ce 3.27-3.47
Te 0.7728 0.2272 0.0000  4 Ce 3.27-3.47
Te 0.3771 0.3771 0.6454  3 Ce 3.07-3.34, 1 Te 3.31
P 0.7694 0.7694 0.8923  4 Ce 2.65-2.85
P 0.2306 0.2306 0.1077  4 Ce 2.65-2.85

Results
**Magnetization**: 3.02 μB/f.u.
**Formation energy without anion corrections**: -111 kJ/mol of atoms
**Theoretical density**: 6.0 g/cm3
**Symmetry**: No. 12



4.
Be2CuP after structural relaxation, computed with GGA-PBE.

Unit cell a=3.0733 b=3.1147 c=4.5047 alpha=90.00 beta=90.00 gamma=90.00
Closest atoms and distances in Å follow each position.
Positions (direct):
P 0.5000 0.5000 0.7500  2 Cu 2.25, 8 Be 2.43
Cu 0.5000 0.5000 0.2500  2 P 2.25, 8 Be 2.49
Be 0.0000 0.0000 0.9842  1 Be 2.11
Be 0.0000 0.0000 0.5158  1 Be 2.11

Results
**Magnetization**: 0.00 μB/f.u.
**E_form**: 0.11 eV per atom
**Theoretical density**: 4.3 g/cm3
**Symmetry**: No. 47



5.
LaTc2SnPt after structural relaxation, computed with GGA-PBE.

Unit cell a=4.8870 b=5.3109 c=4.8870 alpha=90.00 beta=90.00 gamma=90.00
Closest atoms and distances in Å follow each position.
Positions (direct):
Tc 0.0000 0.0000 0.5000  2 La 2.44
Tc 0.5000 0.0000 0.0000  2 La 2.44
Sn 0.5000 0.5000 0.5000  4 Pt 3.46, 8 Tc 3.61
Pt 0.0000 0.5000 0.0000  2 La 2.66
La 0.0000 0.0000 0.0000  4 Tc 2.44, 2 Pt 2.66

Results
**Magnetization**: 3.49 μB/f.u.
**E_form**: 1.59 eV per atom
**Theoretical density**: 8.5 g/cm3
**Symmetry**: No. 123



6.
Y3Bi2O2 after structural relaxation, computed with GGA-PBE.

Unit cell a=3.4216 b=6.1122 c=7.9225 alpha=99.60 beta=102.49 gamma=106.26
Closest atoms and distances in Å follow each position.
Positions (direct):
Y 0.0000 0.0000 0.0000  4 O 2.42
Y 0.8969 0.5783 0.2149  3 O 2.34-2.46
Y 0.1031 0.4217 0.7851  3 O 2.34-2.46
Bi 0.6957 0.7956 0.5959  5 Y 3.06-3.38, 3 Bi 3.42-3.43
Bi 0.3043 0.2044 0.4041  5 Y 3.06-3.38, 3 Bi 3.42-3.43
O 0.6148 0.2725 0.9572  5 Y 2.34-2.46
O 0.3852 0.7275 0.0428  5 Y 2.34-2.46

Results
**Magnetization**: 0.00 μB/f.u.
**Formation energy without anion corrections**: -184 kJ/mol of atoms
**Theoretical density**: 7.9 g/cm3
**Symmetry**: No. 12



Q: What is the formula in the sixth record?
A: Y3Bi2O2



Q: Look up the theoretical density of the fifth one.
A: 8.5 g/cm3



Repeat the fourth record exactly.
Be2CuP after structural relaxation, computed with GGA-PBE.

Unit cell a=3.0733 b=3.1147 c=4.5047 alpha=90.00 beta=90.00 gamma=90.00
Closest atoms and distances in Å follow each position.
Positions (direct):
P 0.5000 0.5000 0.7500  2 Cu 2.25, 8 Be 2.43
Cu 0.5000 0.5000 0.2500  2 P 2.25, 8 Be 2.49
Be 0.0000 0.0000 0.9842  1 Be 2.11
Be 0.0000 0.0000 0.5158  1 Be 2.11

Results
**Magnetization**: 0.00 μB/f.u.
**E_form**: 0.11 eV per atom
**Theoretical density**: 4.3 g/cm3
**Symmetry**: No. 47



Q: The highest magnetization belongs to which entry?
A: LaTc2SnPt